Record 1
PBEsol LaMg, relaxed; ΔH_f (0 K) = -40.3 meV per atom; symmetry = Pnma; relative energy among the computed polymorphs = 54.8 meV per atom; calculated total energy = -3.572 eV/atom
1.0
-5.0926 1.3590 1.3782
-2.2162 -3.6915 -4.5488
-0.2195 -5.2580 4.3739
La Mg
4 4
Direct
0.7500 0.1199 0.1371
0.2500 0.3801 0.6371
0.7500 0.6199 0.3629
0.2500 0.8801 0.8629
0.7500 0.0787 0.6246
0.2500 0.4213 0.1246
0.7500 0.5787 0.8754
0.2500 0.9213 0.3754

***

Record 2
PBEsol LaMg, relaxed; ΔH_f (0 K) = -21.1 meV per atom; symmetry = P4/nmm; relative energy among the computed polymorphs = 74.1 meV per atom; calculated total energy = -3.553 eV/atom
1.0
-2.9267 -0.2392 -1.9436
0.8131 -3.3280 -0.8148
-4.7309 -2.9901 7.4918
Mg La
2 2
Direct
0.5000 0.0000 0.5990
0.0000 0.5000 0.4010
0.5000 0.0000 0.1435
0.0000 0.5000 0.8565